The following is a PBE-GGA calculation of a relaxed structure of K2PmCdF8, from Alexandria via LeMat-Bulk.

Output
The crystal system is monoclinic. The calculation puts the uncorrected formation energy at -2.836 eV/atom. The magnetic moment is 1.13 μB/f.u.

Cell lengths 3.9656, 7.8916, 6.3267 Å; angles 90.00, 90.07, 90.00 degrees
Last column: nearest neighbours and their distance in Å.
Space group P2/m (No. 10)
One atom of each set of equivalent atoms:
K  0.0000  0.2446  0.0000 [2 per cell]  8 F 2.68-2.73
Pm  0.5000  0.5000  0.5000 [1 per cell]  8 F 2.37-2.38
Cd  0.5000  0.0000  0.5000 [1 per cell]  8 F 2.36-2.39
F  0.9999  0.5000  0.2912 [2 per cell]  2 Pm 2.38, 1 F 2.64
F  0.0020  0.0000  0.2943 [2 per cell]  2 Cd 2.36-2.38, 1 F 2.60
F  0.4990  0.2519  0.7108 [4 per cell]  1 Pm 2.37, 1 Cd 2.39